VASP calculation (PBE-GGA) on a relaxed structure of HgBAs. Values from VASP.

```
&SYSTEM
  ibrav = 0, nat = 12, ntyp = 3
/
ATOMIC_SPECIES
Hg 200.59 Hg.upf
B 10.81 B.upf
As 74.92 As.upf
ATOMIC_POSITIONS crystal
Hg 0.0000 0.0000 0.0000
Hg 0.0000 0.5000 0.5000
Hg 0.5000 0.0000 0.5000
Hg 0.5000 0.5000 0.0000
B 0.2500 0.2500 0.2500
B 0.2500 0.7500 0.7500
B 0.7500 0.2500 0.7500
B 0.7500 0.7500 0.2500
As 0.2500 0.2500 0.7500
As 0.2500 0.7500 0.2500
As 0.7500 0.2500 0.2500
As 0.7500 0.7500 0.7500
CELL_PARAMETERS angstrom
6.2067 0.0000 0.0000
0.0000 6.2067 0.0000
0.0000 0.0000 6.2067
```

Results
Space-group type: No. 216
Polymorph energy (0 for the lowest one): 338 meV/atom
DFT total energy: -7.48 eV per formula unit